A plane-wave DFT calculation with PBE with a Hubbard U was carried out for a relaxed K2ZrMoO6 crystal.

abc: 4.2089 5.7561 5.7561
angles: 90.00 90.00 90.00
Closest atoms and distances in Å follow each position.
Sites, in units of the cell vectors:
O: 0.1548 0.5000 0.5000  2 Zr 2.08-2.13
O: 0.6544 0.7651 0.7651  1 Mo 1.93, 1 Zr 2.16
O: 0.6544 0.2349 0.7651  1 Mo 1.93, 1 Zr 2.16
O: 0.6544 0.2349 0.2349  1 Mo 1.93, 1 Zr 2.16
O: 0.6544 0.7651 0.2349  1 Mo 1.93, 1 Zr 2.16
O: 0.1671 0.0000 0.0000  1 Mo 1.80
Mo: 0.5940 0.0000 0.0000  5 O 1.80-1.93
K: 0.1328 0.5000 0.0000  12 O 2.87-3.00
K: 0.1328 0.0000 0.5000  12 O 2.87-3.00
Zr: 0.6478 0.5000 0.5000  6 O 2.08-2.16

Calculated values
* VASP energy: -70.1 eV per cell
* total magnetic moment: 0.0 μB/cell
* SG: No. 99